# 1
Density functional theory data (PBE) for an optimized crystal structure of Na4AuS2.

Cell and atoms, written as POSCAR:
```
Na4AuS2
1.0
2.366 1.366 8.681
-2.366 1.366 8.681
0.000 -2.732 8.681
Na Au S
4 1 2
direct
0.114 0.114 0.114 Na
0.293 0.293 0.293 Na
0.707 0.707 0.707 Na
0.886 0.886 0.886 Na
0.500 0.500 0.500 Au
0.406 0.406 0.406 S
0.594 0.594 0.594 S
```

Space group: R-3m, No. 166
Calculated total energy, eV/atom: -3.125
Energy relative to the elements, uncorrected, eV/atom: -0.724



# 2
Density functional theory data (PBE) for an optimized crystal structure of NaAuS2.

Cell and atoms, written as POSCAR:
```
NaAuS2
1.0
6.714 0.000 0.000
0.000 8.276 0.000
-1.555 0.000 6.367
Na Au S
4 4 8
direct
0.229 0.132 0.008 Na
0.229 0.368 0.508 Na
0.771 0.632 0.492 Na
0.771 0.868 0.992 Na
0.286 0.632 0.998 Au
0.286 0.868 0.498 Au
0.714 0.132 0.502 Au
0.714 0.368 0.002 Au
0.091 0.676 0.258 S
0.091 0.824 0.758 S
0.483 0.071 0.714 S
0.483 0.429 0.214 S
0.517 0.571 0.786 S
0.517 0.929 0.286 S
0.909 0.176 0.242 S
0.909 0.324 0.742 S
```

Space group: P2_1/c, No. 14
Calculated total energy, eV/atom: -3.702
Energy relative to the elements, uncorrected, eV/atom: -0.490



# 3
Density functional theory data (PBE) for an optimized crystal structure of Na2Au3S3.

Cell and atoms, written as POSCAR:
```
Na2Au3S3
1.0
5.400 0.000 0.000
1.245 5.679 0.000
1.432 0.138 7.423
Na Au S
2 3 3
direct
0.000 0.000 0.000 Na
0.467 0.583 0.591 Na
0.482 0.120 0.331 Au
0.696 0.579 0.048 Au
0.897 0.875 0.599 Au
0.189 0.886 0.334 S
0.566 0.875 0.844 S
0.789 0.346 0.293 S
```

Space group: P1, No. 1
Calculated total energy, eV/atom: -3.497
Energy relative to the elements, uncorrected, eV/atom: -0.390



# 4
Density functional theory data (PBE) for an optimized crystal structure of NaAuS.

Cell and atoms, written as POSCAR:
```
NaAuS
1.0
10.800 0.000 0.000
0.000 4.410 0.000
0.000 0.000 6.341
Na Au S
4 4 4
direct
0.103 0.250 0.190 Na
0.397 0.750 0.690 Na
0.603 0.250 0.310 Na
0.897 0.750 0.810 Na
0.164 0.250 0.714 Au
0.336 0.750 0.214 Au
0.664 0.250 0.786 Au
0.836 0.750 0.286 Au
0.153 0.750 0.840 S
0.347 0.250 0.340 S
0.653 0.750 0.660 S
0.847 0.250 0.160 S
```

Space group: Pnma, No. 62
Calculated total energy, eV/atom: -3.413
Energy relative to the elements, uncorrected, eV/atom: -0.505



# 5
Density functional theory data (PBE) for an optimized crystal structure of Na2AuS2.

Cell and atoms, written as POSCAR:
```
Na2AuS2
1.0
-2.783 2.783 5.252
2.783 -2.783 5.252
2.783 2.783 -5.252
Na Au S
2 1 2
direct
0.250 0.750 0.500 Na
0.750 0.250 0.500 Na
0.000 0.000 0.000 Au
0.215 0.215 0.000 S
0.785 0.785 0.000 S
```

Space group: I4/mmm, No. 139
Calculated total energy, eV/atom: -3.429
Energy relative to the elements, uncorrected, eV/atom: -0.595



# 6
Density functional theory data (PBE) for an optimized crystal structure of Na2SbAuS4.

Cell and atoms, written as POSCAR:
```
Na2SbAuS4
1.0
-3.704 3.704 3.374
3.704 -3.704 3.374
3.704 3.704 -3.374
Na Sb Au S
2 1 1 4
direct
0.000 0.500 0.500 Na
0.500 0.000 0.500 Na
0.000 0.000 0.000 Sb
0.500 0.500 0.000 Au
0.039 0.396 0.000 S
0.396 0.039 0.000 S
0.604 0.604 0.644 S
0.961 0.961 0.356 S
```

Space group: I-42m, No. 121
Calculated total energy, eV/atom: -3.723
Energy relative to the elements, uncorrected, eV/atom: -0.404



Number 1: total moment 0.0005 μB per atom. Number 2: total moment 0.0000 μB per atom. Number 3: total moment 0.0000 μB per atom. Number 4: total moment 0.0000 μB per atom. Number 5: total moment 0.0000 μB per atom. Number 6: total moment 0.0000 μB per atom.